Arrangement 1

Compound: SrSi3As
Source: Alexandria
Functional: PBE
Structure: relaxed

Values from the calculation:
V = 24.6 Å³ per atom
total moment = 0.00 Bohr magnetons per cell
space-group type = Pm-3m (221)

a b c (Å): 4.976 4.976 4.976
angles (deg): 90.00 90.00 90.00
Element x y z (fractional)
Sr (0.000, 0.000, 0.000)
Si (0.000, 0.500, 0.500)
Si (0.500, 0.000, 0.500)
Si (0.500, 0.500, 0.000)
As (0.500, 0.500, 0.500)

***

Arrangement 2

Compound: SrSi3As
Source: Alexandria
Functional: PBE
Structure: relaxed

Values from the calculation:
V = 32.6 Å³ per atom
total moment = 0.00 Bohr magnetons per cell
space-group type = Pm-3m (221)

a b c (Å): 5.460 5.460 5.460
angles (deg): 90.00 90.00 90.00
Element x y z (fractional)
Sr (0.000, 0.000, 0.000)
Si (0.000, 0.000, 0.500)
Si (0.000, 0.500, 0.000)
Si (0.500, 0.000, 0.000)
As (0.500, 0.500, 0.500)

***

arrangement 1 has the most favorable energy; the next structure is 1.405 eV/atom above.

***

Arrangement 1

Compound: Sr4SiAs4
Source: Alexandria
Functional: PBE
Structure: relaxed

Values from the calculation:
V = 29.4 Å³ per atom
total moment = 0.00 Bohr magnetons per cell
space-group type = P4_2/nmc (137)

a b c (Å): 8.967 8.967 6.572
angles (deg): 90.00 90.00 90.00
Element x y z (fractional)
Sr (0.018, 0.250, 0.066)
Sr (0.250, 0.018, 0.566)
Sr (0.250, 0.482, 0.566)
Sr (0.482, 0.250, 0.066)
Sr (0.518, 0.750, 0.934)
Sr (0.750, 0.518, 0.434)
Sr (0.750, 0.982, 0.434)
Sr (0.982, 0.750, 0.934)
Si (0.250, 0.750, 0.250)
Si (0.750, 0.250, 0.750)
As (0.025, 0.750, 0.452)
As (0.250, 0.525, 0.048)
As (0.250, 0.975, 0.048)
As (0.475, 0.750, 0.452)
As (0.525, 0.250, 0.548)
As (0.750, 0.025, 0.952)
As (0.750, 0.475, 0.952)
As (0.975, 0.250, 0.548)

***

Arrangement 2

Compound: Sr4SiAs4
Source: Alexandria
Functional: PBE
Structure: relaxed

Values from the calculation:
V = 29.4 Å³ per atom
total moment = 0.00 Bohr magnetons per cell
space-group type = P-43n (218)

a b c (Å): 12.833 12.833 12.833
angles (deg): 90.00 90.00 90.00
Element x y z (fractional)
Sr (0.096, 0.132, 0.644)
Sr (0.096, 0.868, 0.356)
Sr (0.132, 0.356, 0.904)
Sr (0.132, 0.644, 0.096)
Sr (0.144, 0.144, 0.144)
Sr (0.144, 0.368, 0.404)
Sr (0.144, 0.632, 0.596)
Sr (0.144, 0.856, 0.856)
Sr (0.356, 0.096, 0.868)
Sr (0.356, 0.356, 0.644)
Sr (0.356, 0.644, 0.356)
Sr (0.356, 0.904, 0.132)
Sr (0.368, 0.404, 0.144)
Sr (0.368, 0.596, 0.856)
Sr (0.404, 0.144, 0.368)
Sr (0.404, 0.856, 0.632)
Sr (0.596, 0.144, 0.632)
Sr (0.596, 0.856, 0.368)
Sr (0.632, 0.404, 0.856)
Sr (0.632, 0.596, 0.144)
Sr (0.644, 0.096, 0.132)
Sr (0.644, 0.356, 0.356)
Sr (0.644, 0.644, 0.644)
Sr (0.644, 0.904, 0.868)
Sr (0.856, 0.144, 0.856)
Sr (0.856, 0.368, 0.596)
Sr (0.856, 0.632, 0.404)
Sr (0.856, 0.856, 0.144)
Sr (0.868, 0.356, 0.096)
Sr (0.868, 0.644, 0.904)
Sr (0.904, 0.132, 0.356)
Sr (0.904, 0.868, 0.644)
Si (0.000, 0.000, 0.000)
Si (0.000, 0.500, 0.250)
Si (0.000, 0.500, 0.750)
Si (0.250, 0.000, 0.500)
Si (0.500, 0.250, 0.000)
Si (0.500, 0.500, 0.500)
Si (0.500, 0.750, 0.000)
Si (0.750, 0.000, 0.500)
As (0.106, 0.383, 0.648)
As (0.106, 0.617, 0.352)
As (0.108, 0.108, 0.892)
As (0.108, 0.892, 0.108)
As (0.117, 0.394, 0.148)
As (0.117, 0.606, 0.852)
As (0.148, 0.117, 0.394)
As (0.148, 0.883, 0.606)
As (0.352, 0.106, 0.617)
As (0.352, 0.894, 0.383)
As (0.383, 0.352, 0.894)
As (0.383, 0.648, 0.106)
As (0.392, 0.392, 0.392)
As (0.392, 0.608, 0.608)
As (0.394, 0.148, 0.117)
As (0.394, 0.852, 0.883)
As (0.606, 0.148, 0.883)
As (0.606, 0.852, 0.117)
As (0.608, 0.392, 0.608)
As (0.608, 0.608, 0.392)
As (0.617, 0.352, 0.106)
As (0.617, 0.648, 0.894)
As (0.648, 0.106, 0.383)
As (0.648, 0.894, 0.617)
As (0.852, 0.117, 0.606)
As (0.852, 0.883, 0.394)
As (0.883, 0.394, 0.852)
As (0.883, 0.606, 0.148)
As (0.892, 0.108, 0.108)
As (0.892, 0.892, 0.892)
As (0.894, 0.383, 0.352)
As (0.894, 0.617, 0.648)

***

arrangement 2 has the most favorable energy; the next structure is 0.029 eV/atom above.

***

Arrangement 1

Compound: Sr3SiAs4
Source: Alexandria
Functional: PBE
Structure: relaxed

Values from the calculation:
V = 28.3 Å³ per atom
total moment = 0.00 Bohr magnetons per cell
space-group type = Pmn2_1 (31)

a b c (Å): 9.674 7.708 6.080
angles (deg): 90.00 90.00 90.00
Element x y z (fractional)
Sr (0.000, 0.055, 0.000)
Sr (0.195, 0.625, 0.701)
Sr (0.305, 0.375, 0.201)
Sr (0.500, 0.945, 0.500)
Sr (0.695, 0.375, 0.201)
Sr (0.805, 0.625, 0.701)
Si (0.000, 0.179, 0.533)
Si (0.500, 0.821, 0.033)
As (0.000, 0.416, 0.292)
As (0.000, 0.875, 0.430)
As (0.247, 0.212, 0.705)
As (0.253, 0.788, 0.205)
As (0.500, 0.125, 0.930)
As (0.500, 0.584, 0.792)
As (0.747, 0.788, 0.205)
As (0.753, 0.212, 0.705)

***

Arrangement 2

Compound: Sr3SiAs4
Source: Alexandria
Functional: PBE
Structure: relaxed

Values from the calculation:
V = 27.4 Å³ per atom
total moment = 0.00 Bohr magnetons per cell
space-group type = Pnma (62)

a b c (Å): 8.412 10.621 9.820
angles (deg): 90.00 90.00 90.00
Element x y z (fractional)
Sr (0.036, 0.051, 0.188)
Sr (0.036, 0.449, 0.188)
Sr (0.160, 0.750, 0.413)
Sr (0.340, 0.250, 0.913)
Sr (0.464, 0.551, 0.688)
Sr (0.464, 0.949, 0.688)
Sr (0.536, 0.051, 0.312)
Sr (0.536, 0.449, 0.312)
Sr (0.660, 0.750, 0.087)
Sr (0.840, 0.250, 0.587)
Sr (0.964, 0.551, 0.812)
Sr (0.964, 0.949, 0.812)
Si (0.232, 0.250, 0.450)
Si (0.268, 0.750, 0.950)
Si (0.732, 0.250, 0.050)
Si (0.768, 0.750, 0.550)
As (0.042, 0.750, 0.095)
As (0.137, 0.047, 0.537)
As (0.137, 0.453, 0.537)
As (0.205, 0.750, 0.721)
As (0.295, 0.250, 0.221)
As (0.363, 0.547, 0.037)
As (0.363, 0.953, 0.037)
As (0.458, 0.250, 0.595)
As (0.542, 0.750, 0.405)
As (0.637, 0.047, 0.963)
As (0.637, 0.453, 0.963)
As (0.705, 0.750, 0.779)
As (0.795, 0.250, 0.279)
As (0.863, 0.547, 0.463)
As (0.863, 0.953, 0.463)
As (0.958, 0.250, 0.905)

***

arrangement 2 has the most favorable energy; the next structure is 0.234 eV/atom above.

***

Arrangement 1

Compound: SrSiTeAs2
Source: Alexandria
Functional: PBE
Structure: relaxed

Values from the calculation:
V = 26.6 Å³ per atom
total moment = 0.00 Bohr magnetons per cell
space-group type = P4/mmm (123)

a b c (Å): 4.898 4.898 5.541
angles (deg): 90.00 90.00 90.00
Element x y z (fractional)
Sr (0.000, 0.000, 0.000)
Si (0.500, 0.500, 0.500)
Te (0.500, 0.500, 0.000)
As (0.000, 0.500, 0.500)
As (0.500, 0.000, 0.500)

***

Arrangement 2

Compound: SrSiTeAs2
Source: Alexandria
Functional: PBE
Structure: relaxed

Values from the calculation:
V = 35.5 Å³ per atom
total moment = 0.00 Bohr magnetons per cell
space-group type = P4/mmm (123)

a b c (Å): 5.607 5.607 5.648
angles (deg): 90.00 90.00 90.00
Element x y z (fractional)
Sr (0.000, 0.000, 0.000)
Si (0.000, 0.000, 0.500)
Te (0.500, 0.500, 0.500)
As (0.000, 0.500, 0.000)
As (0.500, 0.000, 0.000)

***

arrangement 1 has the most favorable energy; the next structure is 1.385 eV/atom above.

***

Arrangement 1

Compound: TaSiAs3
Source: Alexandria
Functional: PBE
Structure: relaxed

Values from the calculation:
V = 20.2 Å³ per atom
total moment = 0.00 Bohr magnetons per cell
space-group type = Pm-3m (221)

a b c (Å): 4.655 4.655 4.655
angles (deg): 90.00 90.00 90.00
Element x y z (fractional)
Ta (0.000, 0.000, 0.000)
Si (0.500, 0.500, 0.500)
As (0.000, 0.500, 0.500)
As (0.500, 0.000, 0.500)
As (0.500, 0.500, 0.000)

***

Arrangement 2

Compound: TaSiAs3
Source: Alexandria
Functional: PBE
Structure: relaxed

Values from the calculation:
V = 24.8 Å³ per atom
total moment = 0.00 Bohr magnetons per cell
space-group type = Pm-3m (221)

a b c (Å): 4.988 4.988 4.988
angles (deg): 90.00 90.00 90.00
Element x y z (fractional)
Ta (0.000, 0.000, 0.000)
Si (0.500, 0.500, 0.500)
As (0.000, 0.000, 0.500)
As (0.000, 0.500, 0.000)
As (0.500, 0.000, 0.000)

***

arrangement 2 has the most favorable energy; the next structure is 0.333 eV/atom above.